Entry 1:
Density functional theory data (PBE) for an optimized crystal structure of Ho2BeRu2.

POSCAR file:
```
Ho2BeRu2
1.0
5.879 0.447 0.030
3.056 5.042 0.030
1.387 0.852 6.505
Ho Be Ru
4 2 4
direct
0.484 0.225 0.142
0.775 0.516 0.358
0.516 0.775 0.858
0.225 0.484 0.642
0.112 0.888 0.250
0.888 0.112 0.750
0.745 0.000 0.516
0.000 0.255 0.984
0.255 0.000 0.484
0.000 0.745 0.016
```

Theoretical density, Mg/m³: 9.8
Excess energy over the best structure of this formula in the dataset, eV/atom: 0.088
Symmetry: C2/c, No. 15

***

Entry 2:
Density functional theory data (PBE) for an optimized crystal structure of HoBe17Ru.

POSCAR file:
```
HoBe17Ru
1.0
-5.378 1.269 -1.107
-2.160 -5.050 1.259
-1.514 1.211 5.292
Ho Be Ru
1 17 1
direct
0.658 0.658 0.658
0.288 0.008 0.704
0.704 0.288 0.008
0.008 0.704 0.288
0.288 0.704 0.008
0.008 0.288 0.704
0.704 0.008 0.288
0.340 0.864 0.340
0.340 0.340 0.864
0.864 0.340 0.340
0.648 0.166 0.648
0.648 0.648 0.166
0.166 0.648 0.648
0.996 0.505 0.996
0.996 0.996 0.505
0.505 0.996 0.996
0.908 0.908 0.908
0.101 0.101 0.101
0.327 0.327 0.327
```

Theoretical density, Mg/m³: 4.0
VASP energy, eV/atom: -4.1783
Symmetry: R3m, No. 160

***

Entry 3:
Density functional theory data (PBE) for an optimized crystal structure of Ho2BeRu2.

POSCAR file:
```
Ho2BeRu2
1.0
-3.163 -1.282 -0.048
-1.954 0.083 5.177
-3.547 4.182 0.736
Ho Be Ru
2 1 2
direct
0.704 0.796 0.296
0.296 0.204 0.704
0.500 0.500 0.000
0.000 0.254 0.246
0.000 0.746 0.754
```

Theoretical density, Mg/m³: 9.9
Excess energy over the best structure of this formula in the dataset, eV/atom: 0.000
Symmetry: Immm, No. 71

***

Entry 4:
Density functional theory data (PBE) for an optimized crystal structure of HoTmBeRu.

POSCAR file:
```
HoTmBeRu
1.0
4.782 0.000 0.000
2.391 4.141 0.000
2.391 1.380 3.904
Ru Tm Ho Be
1 1 1 1
direct
0.750 0.750 0.750
0.000 0.000 0.000
0.500 0.500 0.500
0.250 0.250 0.250
```

Theoretical density, Mg/m³: 9.5
VASP energy, eV/atom: -5.7023
Symmetry: F-43m, No. 216

***

Entry 5:
Density functional theory data (PBE) for an optimized crystal structure of YHoBeRu.

POSCAR file:
```
YHoBeRu
1.0
4.825 0.000 0.000
2.412 4.178 0.000
2.412 1.393 3.939
Y Ru Ho Be
1 1 1 1
direct
0.000 0.000 0.000
0.750 0.750 0.750
0.500 0.500 0.500
0.250 0.250 0.250
```

Theoretical density, Mg/m³: 7.6
VASP energy, eV/atom: -6.1594
Symmetry: F-43m, No. 216

***

Entry 6:
Density functional theory data (PBE) for an optimized crystal structure of HoBeS2.

POSCAR file:
```
HoBeS2
1.0
-3.842 0.446 -0.797
-2.607 -2.670 1.292
-2.939 2.840 5.972
Be S Ho
1 2 1
direct
0.000 0.000 0.000
0.093 0.093 0.721
0.907 0.907 0.279
0.500 0.500 0.500
```

Formation energy from raw total energies, eV per formula unit: -4.364
Theoretical density, Mg/m³: 4.3
Symmetry: R-3m, No. 166

***

Entry 7:
Density functional theory data (PBE) for an optimized crystal structure of Ho5BeS4.

POSCAR file:
```
Ho5BeS4
1.0
4.963 0.000 2.394
2.482 6.178 1.197
-0.203 0.000 6.762
Ho Be S
5 1 4
direct
0.903 0.392 0.804
0.295 0.804 0.608
0.707 0.196 0.392
0.099 0.608 0.196
0.501 0.000 0.000
0.001 0.000 0.000
0.404 0.400 0.793
0.805 0.793 0.600
0.198 0.207 0.400
0.598 0.600 0.207
```

Formation energy from raw total energies, eV per formula unit: -16.008
Theoretical density, Mg/m³: 7.6
Symmetry: I4/m, No. 87

***

Entry 8:
Density functional theory data (PBE) for an optimized crystal structure of Ho3BeS6.

POSCAR file:
```
Ho3BeS6
1.0
5.938 0.000 0.000
0.000 8.669 0.051
0.000 -1.885 8.462
Ho Be S
6 2 12
direct
0.476 0.936 0.718
0.976 0.718 0.936
0.403 0.376 0.624
0.903 0.624 0.376
0.976 0.064 0.282
0.476 0.282 0.064
0.036 0.196 0.804
0.536 0.804 0.196
0.198 0.673 0.646
0.698 0.646 0.673
0.177 0.420 0.899
0.677 0.899 0.420
0.157 0.048 0.952
0.687 0.217 0.783
0.187 0.783 0.217
0.657 0.952 0.048
0.177 0.101 0.580
0.677 0.580 0.101
0.198 0.354 0.327
0.698 0.327 0.354
```

Formation energy from raw total energies, eV per formula unit: -16.708
Theoretical density, Mg/m³: 5.3
Symmetry: Cmc2_1, No. 36

***

Q: theoretical density of number 4 (HoTmBeRu)?
A: 9.5 Mg/m³